No. 1
Compound: Cd12In2Ga
Source: Alexandria via LeMat-Bulk
Functional: GGA-PBE
Structure: relaxed Values from VASP.

The structure in Quantum ESPRESSO input format:
```
&SYSTEM
  ibrav = 0, nat = 30, ntyp = 3
/
ATOMIC_SPECIES
Cd 112.41 Cd.upf
In 114.82 In.upf
Ga 69.72 Ga.upf
ATOMIC_POSITIONS angstrom
Cd 0.0084 3.0474 1.8727
Cd 0.0084 6.0695 18.3455
Cd 0.4620 3.5009 11.4377
Cd 0.4620 5.6159 8.7805
Cd 1.5195 1.5195 3.9837
Cd 1.5195 1.5195 6.7967
Cd 1.5195 1.5195 13.4216
Cd 1.5195 1.5195 16.2345
Cd 2.5770 3.5009 8.7805
Cd 2.5770 5.6159 11.4377
Cd 3.0306 3.0474 18.3455
Cd 3.0306 6.0695 1.8727
Cd 3.0474 0.0084 18.3455
Cd 3.0474 3.0306 1.8727
Cd 3.5009 0.4620 8.7805
Cd 3.5009 2.5770 11.4377
Cd 4.5584 4.5584 3.9837
Cd 4.5584 4.5584 6.7967
Cd 4.5584 4.5584 13.4216
Cd 4.5584 4.5584 16.2345
Cd 5.6159 0.4620 11.4377
Cd 5.6159 2.5770 8.7805
Cd 6.0695 0.0084 1.8727
Cd 6.0695 3.0306 18.3455
In 1.5195 4.5584 5.3267
In 1.5195 4.5584 14.8915
In 4.5584 1.5195 5.3267
In 4.5584 1.5195 14.8915
Ga 1.5195 4.5584 0.0000
Ga 4.5584 1.5195 0.0000
CELL_PARAMETERS angstrom
6.0779 0.0000 0.0000
0.0000 6.0779 0.0000
0.0000 0.0000 20.2182
```

Properties
- electronic total energy (eV per atom) = -1.23
- DFT formation energy (meV per atom) = 68
- volume (Å³/atom) = 24.9

No. 2
Compound: DyHo5N6
Source: Alexandria via LeMat-Bulk
Functional: GGA-PBE
Structure: relaxed Values from VASP.

The structure in Quantum ESPRESSO input format:
```
&SYSTEM
  ibrav = 0, nat = 12, ntyp = 3
/
ATOMIC_SPECIES
Dy 162.50 Dy.upf
Ho 164.93 Ho.upf
N 14.01 N.upf
ATOMIC_POSITIONS angstrom
Dy 0.0000 0.0000 0.0000
Ho 1.9946 3.4527 2.8201
Ho 2.9908 1.7271 0.0000
Ho 1.9946 0.0000 2.8201
Ho 2.9908 -1.7271 0.0000
Ho 1.9946 -3.4527 2.8201
N 0.9997 1.7317 1.4129
N 0.0067 0.0000 4.2276
N 0.9997 -1.7317 1.4129
N 2.9895 1.7317 4.2273
N 3.9826 0.0000 1.4126
N 2.9895 -1.7317 4.2273
CELL_PARAMETERS angstrom
2.9908 -5.1813 0.0000
2.9908 5.1813 0.0000
-1.9924 0.0000 5.6403
```

Properties
- electronic total energy (eV per atom) = -8.19
- volume (Å³/atom) = 14.6
- E_form (uncorrected) (eV/atom) = -1.740

No. 3
Compound: Sc2HgN
Source: Alexandria via LeMat-Bulk
Functional: GGA-PBE
Structure: relaxed Values from VASP.

The structure in Quantum ESPRESSO input format:
```
&SYSTEM
  ibrav = 0, nat = 4, ntyp = 3
/
ATOMIC_SPECIES
Sc 44.96 Sc.upf
Hg 200.59 Hg.upf
N 14.01 N.upf
ATOMIC_POSITIONS angstrom
Sc 1.6395 1.6395 1.6395
Sc 4.9184 4.9184 4.9184
Hg 0.0000 0.0000 0.0000
N 3.2790 3.2790 3.2790
CELL_PARAMETERS angstrom
0.0000 3.2790 3.2790
3.2790 0.0000 3.2790
3.2790 3.2790 0.0000
```

Properties
- distance to the lowest polymorph of the same formula (eV/atom) = 1.340
- electronic total energy (eV per atom) = -5.11
- volume (Å³/atom) = 17.6
- E_form (uncorrected) (eV/atom) = 0.209

No. 4
Compound: NdTm2Mg2
Source: Alexandria via LeMat-Bulk
Functional: GGA-PBE
Structure: relaxed Values from VASP.

The structure in Quantum ESPRESSO input format:
```
&SYSTEM
  ibrav = 0, nat = 10, ntyp = 3
/
ATOMIC_SPECIES
Nd 144.24 Nd.upf
Tm 168.93 Tm.upf
Mg 24.30 Mg.upf
ATOMIC_POSITIONS angstrom
Nd 0.0000 0.0000 0.0000
Nd 4.5032 4.5032 0.0000
Tm 1.1726 3.3306 0.0000
Tm 3.3306 7.8338 0.0000
Tm 5.6759 1.1726 0.0000
Tm 7.8338 5.6759 0.0000
Mg 1.5037 6.0069 1.7749
Mg 2.9996 1.5037 1.7749
Mg 6.0069 7.5028 1.7749
Mg 7.5028 2.9996 1.7749
CELL_PARAMETERS angstrom
9.0065 0.0000 0.0000
0.0000 9.0065 0.0000
0.0000 0.0000 3.5497
```

Properties
- distance to the lowest polymorph of the same formula (eV/atom) = 0.106
- electronic total energy (eV per atom) = -3.33
- DFT formation energy (meV per atom) = 50
- volume (Å³/atom) = 28.8

No. 5
Compound: AcPr2NdSm2
Source: Alexandria via LeMat-Bulk
Functional: GGA-PBE
Structure: relaxed Values from VASP.

The structure in Quantum ESPRESSO input format:
```
&SYSTEM
  ibrav = 0, nat = 12, ntyp = 4
/
ATOMIC_SPECIES
Ac 227.00 Ac.upf
Pr 140.91 Pr.upf
Nd 144.24 Nd.upf
Sm 150.36 Sm.upf
ATOMIC_POSITIONS angstrom
Ac 0.0000 0.0000 0.0000
Ac 3.3728 9.3713 1.7740
Pr 1.3469 3.5470 0.0000
Pr 2.0260 12.9183 1.7740
Pr 4.7197 5.8243 1.7740
Pr 5.3988 15.1955 0.0000
Nd 0.0000 9.3713 0.0000
Nd 3.3728 0.0000 1.7740
Sm 1.3100 6.5836 1.7740
Sm 2.0629 15.9548 0.0000
Sm 4.6828 2.7877 0.0000
Sm 5.4357 12.1590 1.7740
CELL_PARAMETERS angstrom
6.7457 0.0000 0.0000
0.0000 18.7426 0.0000
0.0000 0.0000 3.5480
```

Properties
- electronic total energy (eV per atom) = -4.39
- DFT formation energy (meV per atom) = 260
- volume (Å³/atom) = 37.4

No. 6
Compound: YOs2W
Source: Alexandria via LeMat-Bulk
Functional: GGA-PBE
Structure: relaxed Values from VASP.

The structure in Quantum ESPRESSO input format:
```
&SYSTEM
  ibrav = 0, nat = 4, ntyp = 3
/
ATOMIC_SPECIES
Y 88.91 Y.upf
Os 190.23 Os.upf
W 183.84 W.upf
ATOMIC_POSITIONS angstrom
Y 0.0000 0.0000 0.0000
Os 0.0000 0.0000 14.4865
Os 0.0000 0.0000 22.1099
W 0.0000 0.0000 6.9523
CELL_PARAMETERS angstrom
1.4297 0.8255 9.7346
-1.4297 0.8255 9.7346
0.0000 -1.6509 9.7346
```

Properties
- distance to the lowest polymorph of the same formula (eV/atom) = 0.534
- electronic total energy (eV per atom) = -9.91
- DFT formation energy (meV per atom) = 563
- volume (Å³/atom) = 17.2